First-principles (GGA-PBE) data for a relaxed BaIn2W crystal, as listed in Alexandria via LeMat-Bulk.

Lattice parameters (Å, degrees): 3.7830 3.1094 9.1837 70.17 90.00 90.00
Last column: nearest neighbours and their distance in Å.
Fractional coordinates of all 4 atoms:
1 Ba 0.5000 0.7500 0.7500  2 Ba 3.11
2 In 0.0000 0.9437 0.0561  4 W 2.97, 2 In 3.11
3 In 0.0000 0.5563 0.4439  4 W 2.97, 2 In 3.11
4 W 0.5000 0.2500 0.2500  8 In 2.97, 2 W 3.11

Results
Raw total energy = -0.34236 Ry/atom
Magnetization = 0.7 μB per formula unit
Space group = Pmmm (47)
Relative energy among the computed polymorphs = 0.000 eV/atom
Formation energy = 1.7 eV per formula unit

***

First-principles (GGA-PBE) data for a relaxed BaInW2 crystal, as listed in Alexandria via LeMat-Bulk.

Lattice parameters (Å, degrees): 5.3963 5.3963 6.3555 81.25 81.25 36.23
Last column: nearest neighbours and their distance in Å.
Fractional coordinates of all 4 atoms:
1 Ba 0.2500 0.2500 0.2500  2 Ba 3.36, 6 W 3.59-3.71, 4 In 3.59
2 In 0.7500 0.7500 0.7500  6 W 2.92-3.01
3 W 0.0184 0.0184 0.8826  2 W 2.45
4 W 0.4816 0.4816 0.6174  2 W 2.45

Results
Raw total energy = -0.49741 Ry/atom
Magnetization = 0.0 μB per formula unit
Space group = C2/m (12)
Formation energy = 3.5 eV per formula unit

***

First-principles (GGA-PBE) data for a relaxed Ba2InW crystal, as listed in Alexandria via LeMat-Bulk.

Lattice parameters (Å, degrees): 3.3148 3.3148 10.9785 90.00 90.00 89.94
Last column: nearest neighbours and their distance in Å.
Fractional coordinates of all 4 atoms:
1 Ba 0.0000 0.0000 0.9821  4 Ba 3.31, 4 W 3.46
2 Ba 0.0000 0.0000 0.5179  4 Ba 3.31, 4 W 3.46
3 In 0.5000 0.5000 0.2500  4 In 3.31
4 W 0.5000 0.5000 0.7500  4 W 3.31, 8 Ba 3.46

Results
Raw total energy = -0.29607 Ry/atom
Magnetization = 0.0 μB per formula unit
Space group = P4/mmm (123)
Formation energy = 3.4 eV per formula unit